[1]
The following is a DFT calculation (GGA-PBEsol) of a relaxed structure of CuAgBr2.

Unit cell a=3.9066 b=4.1647 c=5.7557 alpha=91.04 beta=90.00 gamma=90.00
Positions (direct):
Cu 0.0000 0.6134 0.5187
Br 0.5000 0.4519 0.3128
Ag 0.5000 0.4593 0.8330
Br 0.0000 0.9754 0.8355

Summary:
As for the total magnetization: 0.00 μB/cell. The calculation puts the final energy at -3.0671 eV/atom. Its formation energy (no corrections) is -220.7 meV per atom. The volume is 93.6 Å³ per cell.

[2]
The following is a DFT calculation (GGA-PBEsol) of a relaxed structure of CuAg3Br.

Unit cell a=4.7654 b=4.7654 c=4.7654 alpha=90.00 beta=90.00 gamma=90.00
Positions (direct):
Ag 0.0000 0.5000 0.0000
Ag 0.5000 0.0000 0.0000
Cu 0.0000 0.0000 0.0000
Ag 0.0000 0.0000 0.5000
Br 0.5000 0.5000 0.5000

Summary:
As for the total magnetization: 0.00 μB/cell. The calculation puts the final energy at -2.6546 eV/atom. Its formation energy (no corrections) is 573.0 meV per atom. The volume is 108.2 Å³ per cell.

[3]
The following is a DFT calculation (GGA-PBEsol) of a relaxed structure of Cu2AgBr.

Unit cell a=3.7090 b=3.7090 c=6.2942 alpha=72.86 beta=72.86 gamma=60.00
Positions (direct):
Ag 0.4787 0.4787 0.5639
Cu 0.7402 0.7402 0.7793
Br 0.2644 0.2644 0.2067
Cu 0.0166 0.0166 0.9501

Summary:
As for the total magnetization: 0.00 μB/cell. The calculation puts the final energy at -3.2083 eV/atom. Its formation energy (no corrections) is 254.1 meV per atom. The volume is 70.5 Å³ per cell.

[4]
The following is a DFT calculation (GGA-PBEsol) of a relaxed structure of Cu2AgBr.

Unit cell a=3.4695 b=4.2476 c=4.2346 alpha=90.00 beta=90.00 gamma=90.00
Positions (direct):
Cu 0.0000 0.5000 0.5000
Br 0.5000 0.0000 0.5000
Cu 0.0000 0.0000 0.0000
Ag 0.5000 0.5000 0.0000

Summary:
As for the total magnetization: 0.00 μB/cell. The calculation puts the final energy at -3.1050 eV/atom. Its formation energy (no corrections) is 357.4 meV per atom. The volume is 62.4 Å³ per cell.

[5]
The following is a DFT calculation (GGA-PBEsol) of a relaxed structure of CuAgBr2.

Unit cell a=3.9150 b=3.9150 c=7.2220 alpha=74.27 beta=74.27 gamma=60.00
Positions (direct):
Br 0.7891 0.7891 0.6327
Cu 0.4980 0.4980 0.5059
Ag 0.2397 0.2397 0.2810
Br 0.9732 0.9732 0.0805

Summary:
As for the total magnetization: 0.00 μB/cell. The calculation puts the final energy at -3.0282 eV/atom. Its formation energy (no corrections) is -181.9 meV per atom. The volume is 91.0 Å³ per cell.

[6]
The following is a DFT calculation (GGA-PBEsol) of a relaxed structure of CuAgBr2.

Unit cell a=5.9212 b=5.9212 c=7.0651 alpha=114.77 beta=114.77 gamma=90.00
Positions (direct):
Br 0.8401 0.3750 0.2500
Ag 0.0000 0.0000 0.0000
Ag 0.2500 0.7500 0.5000
Br 0.4099 0.8750 0.2500
Cu 0.5000 0.5000 0.0000
Br 0.1250 0.1599 0.7500
Cu 0.7500 0.2500 0.5000
Br 0.6250 0.5901 0.7500

Summary:
As for the total magnetization: 0.00 μB/cell. The calculation puts the final energy at -3.0730 eV/atom. Its formation energy (no corrections) is -226.7 meV per atom. The volume is 199.5 Å³ per cell.

[7]
The following is a DFT calculation (GGA-PBEsol) of a relaxed structure of Ag2BrF.

Unit cell a=4.5475 b=4.5475 c=4.5475 alpha=60.00 beta=60.00 gamma=60.00
Positions (direct):
Ag 0.7500 0.7500 0.7500
Br 0.5000 0.5000 0.5000
F 0.0000 0.0000 0.0000
Ag 0.2500 0.2500 0.2500

Summary:
As for the total magnetization: 0.00 μB/cell. The calculation puts the final energy at -3.1211 eV/atom. Its formation energy (no corrections) is -516.2 meV per atom. The volume is 66.5 Å³ per cell.

[8]
The following is a DFT calculation (GGA-PBEsol) of a relaxed structure of Ag2BrF.

Unit cell a=4.8651 b=4.8651 c=7.8456 alpha=108.06 beta=108.06 gamma=90.00
Positions (direct):
Br 0.0000 0.0000 0.0000
Br 0.2500 0.7500 0.5000
Ag 0.1250 0.1994 0.7500
F 0.5000 0.5000 0.0000
Ag 0.6250 0.5506 0.7500
F 0.7500 0.2500 0.5000
Ag 0.4494 0.8750 0.2500
Ag 0.8006 0.3750 0.2500

Summary:
As for the total magnetization: 0.00 μB/cell. The calculation puts the final energy at -3.1384 eV/atom. Its formation energy (no corrections) is -533.4 meV per atom. The volume is 166.9 Å³ per cell.